The following is a PBE+U calculation of a relaxed Li2UFeO6 crystal, from Alexandria via LeMat-Bulk.

## Properties
Magnetization ... 0.20 μB per atom
Total DFT energy (no corrections) ... -7.14 eV per atom

```
10
Lattice="5.230 -0.011 -0.002 2.605 4.498 0.012 2.610 1.509 4.635" Properties=species:S:1:pos:R:3 pbc="T T T"
Li 5.225 3.003 1.830
Li 2.602 1.498 4.162
U 7.834 4.495 2.512
Fe 2.611 1.493 0.170
O 4.237 1.304 1.246
O 4.270 4.716 1.234
O 7.203 2.986 1.248
O 6.083 4.245 3.643
O 5.875 1.602 3.619
O 3.671 3.145 3.627
```